# PBE KCSN2, optimized geometry
data_KCSN2
_space_group_name_H-M_alt 'P 1'
_space_group_IT_number 1
_cell_length_a 5.285
_cell_length_b 5.285
_cell_length_c 6.330
_cell_angle_alpha 90.00
_cell_angle_beta 90.00
_cell_angle_gamma 90.00
loop_
_space_group_symop_operation_xyz
'x,y,z'
loop_
_atom_site_label
_atom_site_type_symbol
_atom_site_fract_x
_atom_site_fract_y
_atom_site_fract_z
_atom_site_occupancy
N1 N 0.500 0.000 0.000 1
N2 N 0.000 0.500 0.000 1
S1 S 0.000 0.000 0.500 1
C1 C 0.500 0.500 0.500 1
K1 K 0.000 0.000 0.000 1
# Magnetization: 1.2651 μB/atom
# Space-group type: P4/mmm, No. 123
# N(E_F): 7.36 states/eV per cell
# Formation energy (no corrections): 3.528 eV per atom
# Relative energy among the computed polymorphs: 6.73 eV per formula unit
# E: -2.692 eV per atom